VASP calculation (PBE) on crystalline KCdGeAu2 at its relaxed geometry.

- ΔE_f (eV/atom) = 0.5978
- ΔE to the lowest computed polymorph (meV per atom) = 664
- crystal system = tetragonal
- magnetic moment (μB/f.u.) = 0.6

Unit cell a=5.2326 b=5.7962 c=5.2326 alpha=90.00 beta=90.00 gamma=90.00
Last column: nearest neighbours and their distance in Å.
Fractional coordinates of all 5 atoms:
Au  0.0000  0.0000  0.5000  2 Cd 2.62
Au  0.5000  0.0000  0.0000  2 Cd 2.62
Ge  0.5000  0.5000  0.5000  4 K 3.70, 8 Au 3.90
Cd  0.0000  0.0000  0.0000  4 Au 2.62, 2 K 2.90
K  0.0000  0.5000  0.0000  2 Cd 2.90